KNa2HgO2 PBE-GGA optimized geometry; mass density = 4.3 Mg/m³; formation energy (no corrections) = -0.902 eV per atom; volume = 20.40 Å³ per atom; total magnetization = 0.00 μB per formula unit
1.0
3.868 0.000 0.000
0.000 5.840 0.000
0.000 0.000 10.838
K Na Hg O
2 4 2 4
Direct
0.500 0.500 0.000
0.000 0.000 0.500
0.500 0.110 0.233
0.000 0.610 0.267
0.500 0.890 0.767
0.000 0.390 0.733
0.000 0.000 0.000
0.500 0.500 0.500
0.500 0.771 0.352
0.500 0.229 0.648
0.000 0.729 0.852
0.000 0.271 0.148


K6NaHg2O PBE-GGA optimized geometry; mass density = 2.5 Mg/m³; formation energy (no corrections) = -0.324 eV per atom; volume = 45.34 Å³ per atom; total magnetization = 0.00 μB per formula unit
1.0
-4.762 -6.831 -2.243
1.389 -3.512 7.753
-3.278 8.010 -0.643
K Na Hg O
6 1 2 1
Direct
0.785 0.787 0.999
0.784 0.785 0.572
0.215 0.215 0.002
0.787 0.215 0.000
0.216 0.217 0.428
0.214 0.787 0.001
0.499 0.500 0.999
0.749 0.249 0.498
0.248 0.750 0.498
0.000 0.001 0.000


K8NaHg2O PBE-GGA optimized geometry; mass density = 2.2 Mg/m³; formation energy (no corrections) = -0.320 eV per atom; volume = 47.33 Å³ per atom; total magnetization = 0.00 μB per formula unit
1.0
8.193 0.352 0.047
0.464 7.322 0.955
0.013 1.205 9.652
K Na Hg O
8 1 2 1
Direct
0.031 0.689 0.216
0.737 0.884 0.900
0.800 0.187 0.142
0.969 0.311 0.784
0.263 0.116 0.100
0.200 0.813 0.858
0.584 0.733 0.478
0.416 0.267 0.522
0.000 0.000 0.500
0.521 0.447 0.854
0.479 0.553 0.146
0.000 0.000 0.000


KNaHgO2 PBE-GGA optimized geometry; mass density = 4.4 Mg/m³; formation energy (no corrections) = -0.932 eV per atom; volume = 22.13 Å³ per atom; total magnetization = 0.00 μB per formula unit
1.0
5.377 0.000 0.000
0.000 6.538 0.000
0.000 -3.269 6.295
K Na Hg O
2 2 2 4
Direct
0.366 0.750 0.500
0.634 0.250 0.500
0.500 0.750 0.000
0.500 0.250 0.000
0.000 0.000 0.000
0.000 0.500 0.000
0.707 0.900 0.800
0.707 0.600 0.200
0.293 0.400 0.800
0.293 0.100 0.200


KNa2HgP PBE-GGA optimized geometry; DFT total energy = -10.44 eV per cell; mass density = 2.8 Mg/m³; volume = 37.65 Å³ per atom; total magnetization = 0.00 μB per formula unit
1.0
5.466 0.000 0.000
0.000 5.466 0.000
0.000 0.000 6.301
P K Hg Na
1 1 1 2
Direct
0.000 0.000 0.000
0.000 0.000 0.500
0.500 0.500 0.500
0.000 0.500 0.000
0.500 0.000 0.000


KNa2HgP PBE-GGA optimized geometry; DFT total energy = -6.60 eV per cell; mass density = 2.4 Mg/m³; volume = 43.69 Å³ per atom; total magnetization = 0.00 μB per formula unit
1.0
-3.702 -0.443 5.173
3.380 -3.605 2.109
3.297 4.708 2.762
P K Hg Na
1 1 1 2
Direct
0.000 0.500 0.000
0.000 0.000 0.000
0.500 0.500 0.500
0.000 0.000 0.500
0.500 0.000 0.000


K2NaHgP2 PBE-GGA optimized geometry; DFT total energy = -31.65 eV per cell; mass density = 3.6 Mg/m³; volume = 27.76 Å³ per atom; total magnetization = 0.00 μB per formula unit
1.0
6.566 0.000 0.000
0.000 6.643 0.000
-3.283 -3.321 7.639
K Na Hg P
4 2 2 4
Direct
0.421 0.174 0.348
0.579 0.826 0.652
0.072 0.326 0.652
0.928 0.674 0.348
0.000 0.750 0.000
0.000 0.250 0.000
0.500 0.750 0.000
0.500 0.250 0.000
0.824 0.102 0.204
0.380 0.602 0.204
0.620 0.398 0.796
0.176 0.898 0.796


KNaHgPb2 PBE-GGA optimized geometry; DFT total energy = -9.24 eV per cell; mass density = 6.1 Mg/m³; volume = 36.88 Å³ per atom; total magnetization = 0.00 μB per formula unit
1.0
5.691 0.000 0.000
0.000 5.694 0.000
0.000 0.000 5.691
Pb Na K Hg
2 1 1 1
Direct
0.000 0.000 0.500
0.500 0.000 0.000
0.000 0.000 0.000
0.500 0.500 0.500
0.000 0.500 0.000


KNa2Hg4Pb PBE-GGA optimized geometry; DFT total energy = -10.16 eV per cell; mass density = 7.7 Mg/m³; volume = 29.51 Å³ per atom; total magnetization = 0.00 μB per formula unit
1.0
-2.023 -0.805 4.875
1.706 -4.108 2.954
6.729 3.897 6.360
K Na Hg Pb
1 2 4 1
Direct
0.000 0.000 0.000
0.762 0.762 0.713
0.238 0.238 0.287
0.386 0.386 0.843
0.878 0.878 0.366
0.122 0.122 0.634
0.614 0.614 0.157
0.500 0.500 0.500


KNa2HgPb PBE-GGA optimized geometry; DFT total energy = -7.95 eV per cell; mass density = 3.8 Mg/m³; volume = 43.37 Å³ per atom; total magnetization = 0.00 μB per formula unit
1.0
-0.603 -2.012 5.631
0.029 -5.661 -2.019
5.973 -0.176 0.577
Pb Na K Hg
1 2 1 1
Direct
0.000 0.000 0.000
0.000 0.500 0.000
0.500 0.000 0.000
0.500 0.500 0.500
0.000 0.000 0.500


KNa2HgPb PBE-GGA optimized geometry; DFT total energy = -7.90 eV per cell; mass density = 4.1 Mg/m³; volume = 40.08 Å³ per atom; total magnetization = 0.00 μB per formula unit
1.0
-4.284 2.054 -3.411
-3.432 -4.445 1.633
-2.023 3.203 4.468
Pb Na K Hg
1 2 1 1
Direct
0.000 0.000 0.500
0.000 0.500 0.000
0.500 0.000 0.000
0.500 0.500 0.500
0.000 0.000 0.000


K2Na5Hg2Pb PBE-GGA optimized geometry; DFT total energy = -29.11 eV per cell; mass density = 3.8 Mg/m³; volume = 34.79 Å³ per atom; total magnetization = 0.00 μB per formula unit
1.0
-2.115 2.283 -3.360
5.681 -7.047 -8.366
-9.340 -8.032 0.423
K Na Hg Pb
4 10 4 2
Direct
0.000 0.673 0.173
0.000 0.327 0.827
0.000 0.173 0.327
0.000 0.827 0.673
0.500 0.196 0.064
0.500 0.804 0.936
0.500 0.064 0.804
0.500 0.696 0.436
0.500 0.936 0.196
0.500 0.304 0.564
0.500 0.564 0.696
0.500 0.436 0.304
0.500 0.500 0.000
0.500 0.000 0.500
0.000 0.127 0.627
0.000 0.873 0.373
0.000 0.627 0.873
0.000 0.373 0.127
0.000 0.000 0.000
0.000 0.500 0.500


K2Na4HgPb2 PBE-GGA optimized geometry; DFT total energy = -16.18 eV per cell; mass density = 4.0 Mg/m³; volume = 36.16 Å³ per atom; total magnetization = 0.00 μB per formula unit
1.0
5.910 -0.045 -0.031
1.292 7.985 0.668
1.292 3.554 7.182
K Na Hg Pb
2 4 1 2
Direct
0.297 0.634 0.634
0.703 0.366 0.366
0.199 0.660 0.077
0.801 0.923 0.340
0.801 0.340 0.923
0.199 0.077 0.660
0.500 0.000 0.000
0.254 0.194 0.194
0.746 0.806 0.806


KNaHg2Pd PBE-GGA optimized geometry; DFT total energy = -9.25 eV per cell; mass density = 6.1 Mg/m³; volume = 31.15 Å³ per atom; total magnetization = 0.00 μB per formula unit
1.0
5.390 0.000 0.000
0.000 5.390 0.000
0.000 0.000 5.362
Na K Hg Pd
1 1 2 1
Direct
0.000 0.000 0.500
0.500 0.500 0.500
0.000 0.500 0.000
0.500 0.000 0.000
0.000 0.000 0.000


K2NaHg12Pd3 PBE-GGA optimized geometry; DFT total energy = -24.07 eV per cell; mass density = 8.0 Mg/m³; volume = 32.43 Å³ per atom; total magnetization = 0.00 μB per formula unit
1.0
8.901 -0.559 -0.396
3.910 8.016 -0.396
3.910 2.276 7.696
K Na Hg Pd
2 1 12 3
Direct
0.592 0.592 0.592
0.408 0.408 0.408
0.000 0.000 0.000
0.303 0.303 0.873
0.850 0.850 0.397
0.397 0.850 0.850
0.873 0.303 0.303
0.850 0.397 0.850
0.303 0.873 0.303
0.697 0.697 0.127
0.150 0.150 0.603
0.603 0.150 0.150
0.127 0.697 0.697
0.150 0.603 0.150
0.697 0.127 0.697
0.500 0.000 0.000
0.000 0.500 0.000
0.000 0.000 0.500


K2NaHg2Pd PBE-GGA optimized geometry; DFT total energy = -20.75 eV per cell; mass density = 5.4 Mg/m³; volume = 31.14 Å³ per atom; total magnetization = 0.00 μB per formula unit
1.0
4.938 0.000 0.000
0.000 8.606 0.000
0.000 0.000 8.793
K Na Hg Pd
4 2 4 2
Direct
0.500 0.003 0.135
0.000 0.356 0.162
0.500 0.503 0.865
0.000 0.856 0.838
0.000 0.040 0.478
0.000 0.540 0.522
0.000 0.240 0.775
0.500 0.308 0.451
0.000 0.740 0.225
0.500 0.808 0.549
0.500 0.098 0.691
0.500 0.598 0.309


K2Na2Hg4Pd PBE-GGA optimized geometry; DFT total energy = -12.28 eV per cell; mass density = 5.7 Mg/m³; volume = 33.38 Å³ per atom; total magnetization = 0.00 μB per formula unit
1.0
-0.331 3.577 -6.462
-0.125 -7.383 -0.367
-5.856 0.781 4.446
K Na Hg Pd
2 2 4 1
Direct
0.000 0.699 0.699
0.000 0.301 0.301
0.500 0.750 0.250
0.500 0.250 0.750
0.000 0.755 0.245
0.510 0.755 0.755
0.000 0.245 0.755
0.490 0.245 0.245
0.000 0.000 0.000


K2NaHgPd PBE-GGA optimized geometry; DFT total energy = -8.86 eV per cell; mass density = 3.2 Mg/m³; volume = 42.14 Å³ per atom; total magnetization = 0.00 μB per formula unit
1.0
-1.994 5.562 1.775
0.956 -1.540 5.897
5.168 1.957 -0.327
Na K Hg Pd
1 2 1 1
Direct
0.000 0.000 0.500
0.000 0.500 0.000
0.500 0.000 0.000
0.500 0.500 0.500
0.000 0.000 0.000


KNaHg2Pd PBE-GGA optimized geometry; DFT total energy = -8.56 eV per cell; mass density = 5.7 Mg/m³; volume = 33.43 Å³ per atom; total magnetization = 0.00 μB per formula unit
1.0
-3.990 -3.032 -1.940
2.382 -0.053 -4.817
2.907 -4.779 1.490
Na K Hg Pd
1 1 2 1
Direct
0.500 0.500 0.500
0.000 0.000 0.500
0.000 0.500 0.000
0.500 0.000 0.000
0.000 0.000 0.000


K2NaHgPd PBE-GGA optimized geometry; DFT total energy = -9.15 eV per cell; mass density = 3.3 Mg/m³; volume = 41.27 Å³ per atom; total magnetization = 0.00 μB per formula unit
1.0
-1.216 -0.237 6.097
-2.793 -5.505 -0.771
4.648 -2.475 0.830
Na K Hg Pd
1 2 1 1
Direct
0.500 0.500 0.500
0.000 0.500 0.000
0.500 0.000 0.000
0.000 0.000 0.500
0.000 0.000 0.000